No. 1
{"formula": "Ba4InRu", "functional": "PBE-GGA", "state": "optimized geometry", "ef_ev_per_fu": 5.42, "lattice_angstrom": [[0.0000, 4.9374, 4.9374], [4.9374, 0.0000, 4.9374], [4.9374, 4.9374, 0.0000]], "species": ["Ba", "Ba", "Ba", "Ba", "In", "Ru"], "fractional_positions": [[0.1253, 0.1253, 0.1253], [0.1253, 0.1253, 0.6240], [0.1253, 0.6240, 0.1253], [0.6240, 0.1253, 0.1253], [0.7500, 0.7500, 0.7500], [0.5000, 0.5000, 0.5000]]}



No. 2
{"formula": "Cs2CaSi2O6", "functional": "PBE-GGA", "state": "optimized geometry", "e_form_raw_ev_per_atom": -2.409, "lattice_angstrom": [[5.2719, -3.0450, 0.0000], [5.2719, 3.0450, 0.0000], [-3.4655, 0.0000, 6.5578]], "species": ["Cs", "Cs", "Ca", "Si", "Si", "O", "O", "O", "O", "O", "O"], "fractional_positions": [[0.2088, 0.2088, 0.1281], [0.7912, 0.7912, 0.8719], [0.0000, 0.0000, 0.5000], [0.4045, 0.4045, 0.7106], [0.5955, 0.5955, 0.2894], [0.2540, 0.2540, 0.7108], [0.2564, 0.7079, 0.7173], [0.2921, 0.7436, 0.2827], [0.7079, 0.2564, 0.7173], [0.7436, 0.2921, 0.2827], [0.7460, 0.7460, 0.2892]]}



No. 3
{"formula": "ScAsW3", "functional": "PBE-GGA", "state": "optimized geometry", "ef_ev_per_fu": 5.63, "polymorph_energy_mev_per_atom": 0, "lattice_angstrom": [[4.6405, 0.0000, 0.0000], [0.0000, 4.6405, 0.0000], [0.0000, 0.0000, 4.6405]], "species": ["Sc", "As", "W", "W", "W"], "fractional_positions": [[0.0000, 0.0000, 0.0000], [0.5000, 0.5000, 0.5000], [0.0000, 0.5000, 0.5000], [0.5000, 0.0000, 0.5000], [0.5000, 0.5000, 0.0000]]}



What did the third record say?
{"formula": "ScAsW3", "functional": "PBE-GGA", "state": "optimized geometry", "ef_ev_per_fu": 5.63, "polymorph_energy_mev_per_atom": 0, "lattice_angstrom": [[4.6405, 0.0000, 0.0000], [0.0000, 4.6405, 0.0000], [0.0000, 0.0000, 4.6405]], "species": ["Sc", "As", "W", "W", "W"], "fractional_positions": [[0.0000, 0.0000, 0.0000], [0.5000, 0.5000, 0.5000], [0.0000, 0.5000, 0.5000], [0.5000, 0.0000, 0.5000], [0.5000, 0.5000, 0.0000]]}